[1]
Below is crystalline K2HgSe2 at its relaxed geometry, with properties calculated at the PBEsol level. Values from VASP.

Computed properties:
Energy relative to the elements, uncorrected in eV per atom: -0.4124
Symmetry: I4/mmm (139)

Cell and atoms, written as Quantum ESPRESSO input:
```
&SYSTEM
  ibrav = 0, nat = 5, ntyp = 3
/
ATOMIC_SPECIES
K 39.10 K.upf
Hg 200.59 Hg.upf
Se 78.96 Se.upf
CELL_PARAMETERS angstrom
3.993 0.000 0.000
0.000 3.993 0.000
-1.997 -1.997 9.779
ATOMIC_POSITIONS angstrom
K 0.000 0.000 7.437
K 1.997 1.997 2.342
Hg 0.000 0.000 0.000
Se 0.000 1.997 4.889
Se 1.997 0.000 4.889
```

=====

[2]
Below is crystalline IrPbO2 at its relaxed geometry, with properties calculated at the PBEsol level. Values from VASP.

Computed properties:
Energy relative to the elements, uncorrected in eV per atom: -0.1446
Symmetry: I-42d (122)

Cell and atoms, written as Quantum ESPRESSO input:
```
&SYSTEM
  ibrav = 0, nat = 8, ntyp = 3
/
ATOMIC_SPECIES
Pb 207.20 Pb.upf
Ir 192.22 Ir.upf
O 16.00 O.upf
CELL_PARAMETERS angstrom
-0.338 -2.514 -3.614
4.365 -0.662 0.053
-2.831 -3.514 5.406
ATOMIC_POSITIONS angstrom
Pb 1.774 -2.882 1.839
Pb 0.000 0.000 0.000
Ir -0.577 -3.808 0.005
Ir 2.014 -1.588 -1.781
O 2.951 -2.657 -0.327
O 0.668 -3.070 -1.423
O -1.174 -3.100 3.614
O -0.051 -4.553 1.823
```

=====

[3]
Below is crystalline Cs2BiAuBr6 at its relaxed geometry, with properties calculated at the PBEsol level. Values from VASP.

Computed properties:
Energy relative to the elements, uncorrected in eV per atom: -1.0158
Symmetry: Fm-3m (225)

Cell and atoms, written as Quantum ESPRESSO input:
```
&SYSTEM
  ibrav = 0, nat = 10, ntyp = 4
/
ATOMIC_SPECIES
Cs 132.91 Cs.upf
Bi 208.98 Bi.upf
Au 196.97 Au.upf
Br 79.90 Br.upf
CELL_PARAMETERS angstrom
7.898 0.000 0.000
3.949 6.840 0.000
3.949 2.280 6.449
ATOMIC_POSITIONS angstrom
Cs 11.848 6.840 4.837
Cs 3.949 2.280 1.612
Bi 0.000 0.000 0.000
Au 7.898 4.560 3.225
Br 7.898 2.327 1.646
Br 9.832 5.677 1.646
Br 7.898 6.793 4.803
Br 9.832 3.444 4.803
Br 5.965 5.677 1.646
Br 5.965 3.444 4.803
```

=====

[4]
Below is crystalline Ir2PtAu at its relaxed geometry, with properties calculated at the PBEsol level. Values from VASP.

Computed properties:
Relative energy among the computed polymorphs in eV per atom: 0.020
ΔE_f in kJ/mol of formula units: 85
Symmetry: R-3m (166)

Cell and atoms, written as Quantum ESPRESSO input:
```
&SYSTEM
  ibrav = 0, nat = 4, ntyp = 3
/
ATOMIC_SPECIES
Au 196.97 Au.upf
Ir 192.22 Ir.upf
Pt 195.08 Pt.upf
CELL_PARAMETERS angstrom
-1.598 -1.492 1.706
-2.253 -1.285 -0.981
3.641 -8.218 -1.521
ATOMIC_POSITIONS angstrom
Au 0.000 0.000 0.000
Ir -0.013 -2.807 -0.213
Ir -0.198 -8.187 -0.582
Pt -0.105 -5.497 -0.398
```

=====

[5]
Below is crystalline LiTiCrO4 at its relaxed geometry, with properties calculated at the PBEsol level. Values from VASP.

Computed properties:
Energy relative to the elements, uncorrected in eV per atom: -2.4965
Relative energy among the computed polymorphs in eV per atom: 0.000
Symmetry: Imma (74)

Cell and atoms, written as Quantum ESPRESSO input:
```
&SYSTEM
  ibrav = 0, nat = 14, ntyp = 4
/
ATOMIC_SPECIES
Li 6.94 Li.upf
Ti 47.87 Ti.upf
Cr 52.00 Cr.upf
O 16.00 O.upf
CELL_PARAMETERS angstrom
5.827 0.022 -0.037
-2.872 5.070 0.037
2.876 1.734 4.762
ATOMIC_POSITIONS angstrom
Li 2.932 3.403 0.588
Li 2.899 3.422 4.174
Ti 2.913 0.011 -0.018
Ti 1.438 0.867 2.381
Cr 0.002 3.402 2.399
Cr 4.352 0.878 2.363
O -1.313 4.346 1.254
O 2.879 1.551 1.217
O 2.952 5.274 3.545
O 7.144 2.479 3.508
O 0.019 5.093 3.420
O 1.337 4.328 1.276
O 5.811 1.732 1.342
O 4.493 2.497 3.485
```

=====

[6]
Below is crystalline LiTi2Se2 at its relaxed geometry, with properties calculated at the PBEsol level. Values from VASP.

Computed properties:
Energy relative to the elements, uncorrected in eV per atom: -0.8823
Symmetry: P4/mbm (127)

Cell and atoms, written as Quantum ESPRESSO input:
```
&SYSTEM
  ibrav = 0, nat = 10, ntyp = 3
/
ATOMIC_SPECIES
Li 6.94 Li.upf
Se 78.96 Se.upf
Ti 47.87 Ti.upf
CELL_PARAMETERS angstrom
-0.317 -0.623 -3.237
4.952 -4.846 0.448
-4.821 -4.798 1.396
ATOMIC_POSITIONS angstrom
Li 0.000 0.000 0.000
Li 0.066 -4.822 0.922
Se -2.365 -5.744 1.337
Se 1.045 -7.238 1.291
Se 2.496 -3.900 0.507
Se -0.913 -2.406 0.553
Ti -2.550 -4.083 -0.658
Ti -1.113 -7.540 -0.133
Ti 2.365 -6.185 -0.735
Ti 0.927 -2.728 -1.260
```

=====

[7]
Below is crystalline LaZrW2 at its relaxed geometry, with properties calculated at the PBEsol level. Values from VASP.

Computed properties:
Relative energy among the computed polymorphs in eV per atom: 0.003
ΔE_f in kJ/mol of formula units: 208
Symmetry: Cmmm (65)

Cell and atoms, written as Quantum ESPRESSO input:
```
&SYSTEM
  ibrav = 0, nat = 4, ntyp = 3
/
ATOMIC_SPECIES
La 138.91 La.upf
W 183.84 W.upf
Zr 91.22 Zr.upf
CELL_PARAMETERS angstrom
2.896 -0.004 0.000
-1.052 2.698 0.000
0.000 0.000 9.943
ATOMIC_POSITIONS angstrom
La 0.922 1.347 0.000
W 0.000 0.000 2.668
W 0.000 0.000 7.274
Zr 0.922 1.347 4.971
```

=====

[8]
Below is crystalline CaMgPb at its relaxed geometry, with properties calculated at the PBEsol level. Values from VASP.

Computed properties:
ΔE_f in kJ/mol of formula units: -38
Symmetry: P3m1 (156)

Cell and atoms, written as Quantum ESPRESSO input:
```
&SYSTEM
  ibrav = 0, nat = 3, ntyp = 3
/
ATOMIC_SPECIES
Ca 40.08 Ca.upf
Mg 24.30 Mg.upf
Pb 207.20 Pb.upf
CELL_PARAMETERS angstrom
3.644 0.000 0.000
-1.822 3.156 0.000
0.000 0.000 7.703
ATOMIC_POSITIONS angstrom
Ca 0.000 0.000 0.050
Mg 0.000 2.104 4.997
Pb 1.822 1.052 2.656
```

=====

[9]
Below is crystalline V2H at its relaxed geometry, with properties calculated at the PBEsol level. Values from VASP.

Computed properties:
Symmetry: C2/m (12)
Total DFT energy (no corrections) in eV per cell: -23.1

Cell and atoms, written as Quantum ESPRESSO input:
```
&SYSTEM
  ibrav = 0, nat = 3, ntyp = 2
/
ATOMIC_SPECIES
H 1.01 H.upf
V 50.94 V.upf
CELL_PARAMETERS angstrom
2.631 -0.002 0.000
1.019 2.426 0.000
0.465 0.309 4.362
ATOMIC_POSITIONS angstrom
H 0.000 0.000 0.000
V 1.113 0.740 1.170
V 3.001 1.994 3.192
```

=====

[10]
Below is crystalline Ca2TcAsAu at its relaxed geometry, with properties calculated at the PBEsol level. Values from VASP.

Computed properties:
ΔE_f in kJ/mol of formula units: 322
Symmetry: P4/mmm (123)

Cell and atoms, written as Quantum ESPRESSO input:
```
&SYSTEM
  ibrav = 0, nat = 5, ntyp = 4
/
ATOMIC_SPECIES
As 74.92 As.upf
Ca 40.08 Ca.upf
Au 196.97 Au.upf
Tc 98.00 Tc.upf
CELL_PARAMETERS angstrom
4.787 0.000 0.000
0.000 5.312 0.000
0.000 0.000 5.312
ATOMIC_POSITIONS angstrom
As 2.393 2.656 2.656
Ca 0.000 0.000 2.656
Ca 0.000 2.656 0.000
Au 2.393 0.000 0.000
Tc 0.000 0.000 0.000
```

=====

[11]
Below is crystalline Er4Ni2C5 at its relaxed geometry, with properties calculated at the PBEsol level. Values from VASP.

Computed properties:
ΔE_f in kJ/mol of formula units: -480
Symmetry: Pmm2 (25)

Cell and atoms, written as Quantum ESPRESSO input:
```
&SYSTEM
  ibrav = 0, nat = 11, ntyp = 3
/
ATOMIC_SPECIES
Er 167.26 Er.upf
Ni 58.69 Ni.upf
C 12.01 C.upf
CELL_PARAMETERS angstrom
-0.855 -3.123 1.421
1.856 0.857 2.999
-9.396 4.617 4.495
ATOMIC_POSITIONS angstrom
Er -6.974 2.542 5.790
Er -1.416 -0.189 3.131
Er -4.732 0.929 3.594
Er 1.849 0.854 2.989
Ni -4.479 3.440 4.866
Ni -2.316 2.378 3.832
C -5.392 4.415 6.460
C -0.298 1.912 4.023
C -5.892 3.249 3.596
C -2.762 1.711 2.098
C 0.486 -1.140 2.187
```

=====

[12]
Below is crystalline BeMo2W at its relaxed geometry, with properties calculated at the PBEsol level. Values from VASP.

Computed properties:
ΔE_f in kJ/mol of formula units: 52
Symmetry: P4/mmm (123)

Cell and atoms, written as Quantum ESPRESSO input:
```
&SYSTEM
  ibrav = 0, nat = 4, ntyp = 3
/
ATOMIC_SPECIES
Be 9.01 Be.upf
Mo 95.94 Mo.upf
W 183.84 W.upf
CELL_PARAMETERS angstrom
-0.940 0.764 -2.922
-2.963 0.357 1.047
1.024 5.359 1.071
ATOMIC_POSITIONS angstrom
Be -1.440 3.240 -0.402
Mo 0.740 3.874 0.774
Mo 0.284 1.485 0.297
W -1.952 0.560 -0.937
```